Run A
LiEr2Os: optimized geometry, PBE-GGA.

The space group is P4/mmm (No. 123) and the conventional cell measures 3.3885, 3.3885 and 8.0581 Å, with angles of 90.00, 90.00 and 90.00 degrees. The distinct sites, in fractional coordinates, are Li at (0.0000, 0.0000, 0.0000), Er at (0.5000, 0.5000, 0.2971) and Os at (0.0000, 0.0000, 0.5000).

Its density of states at the Fermi level is 1.96 states/eV per cell. The calculation puts the volume at 23.131 Å³ per atom.

Run B
LiEr2Os: optimized geometry, PBE-GGA.

The space group is R-3m (No. 166, hexagonal axes) and the conventional cell measures 3.4379, 3.4379 and 30.8307 Å, with angles of 90.00, 90.00 and 120.00 degrees. The distinct sites, in fractional coordinates, are Li at (0.0000, 0.0000, 0.0000), Er at (0.0000, 0.0000, 0.1033) and Os at (0.0000, 0.0000, 0.5000).

Its density of states at the Fermi level is 12.68 states/eV per cell. The calculation puts the volume at 26.298 Å³ per atom.

Run C
LiEr2Os: optimized geometry, PBE-GGA.

The space group is Fm-3m (No. 225) and the conventional cell measures 6.8624, 6.8624 and 6.8624 Å, with angles of 90.00, 90.00 and 90.00 degrees. The distinct sites, in fractional coordinates, are Li at (0.0000, 0.0000, 0.0000), Er at (0.2500, 0.2500, 0.2500) and Os at (0.0000, 0.0000, 0.5000).

Its density of states at the Fermi level is 10.86 states/eV per cell. The calculation puts the volume at 20.198 Å³ per atom.

Ordering by calculated energy gives the sequence run C, run A, run B, with the first entry being the most stable.

Run A
LiEr2Pa: optimized geometry, PBE-GGA.

The space group is P4/mmm (No. 123) and the conventional cell measures 3.3922, 3.3922 and 9.2124 Å, with angles of 90.00, 90.00 and 90.00 degrees. The distinct sites, in fractional coordinates, are Li at (0.0000, 0.0000, 0.0000), Er at (0.5000, 0.5000, 0.2503) and Pa at (0.0000, 0.0000, 0.5000).

Its density of states at the Fermi level is 4.54 states/eV per cell. The calculation puts the volume at 26.502 Å³ per atom.

Run B
LiEr2Pa: optimized geometry, PBE-GGA.

The space group is R-3m (No. 166, hexagonal axes) and the conventional cell measures 3.2212, 3.2212 and 35.3591 Å, with angles of 90.00, 90.00 and 120.00 degrees. The distinct sites, in fractional coordinates, are Li at (0.0000, 0.0000, 0.0000), Er at (0.0000, 0.0000, 0.4107) and Pa at (0.0000, 0.0000, 0.5000).

Its density of states at the Fermi level is 12.82 states/eV per cell. The calculation puts the volume at 26.478 Å³ per atom.

Ordering by calculated energy gives the sequence run A, run B, with the first entry being the most stable.

Run A
LiErSnPb: optimized geometry, PBE-GGA.

The space group is F-43m (No. 216) and the conventional cell measures 7.4035, 7.4035 and 7.4035 Å, with angles of 90.00, 90.00 and 90.00 degrees. The distinct sites, in fractional coordinates, are Li at (0.0000, 0.0000, 0.0000), Er at (0.0000, 0.0000, 0.5000), Sn at (0.2500, 0.2500, 0.2500) and Pb at (0.2500, 0.2500, 0.7500).

Its density of states at the Fermi level is 12.37 states/eV per cell. The calculation puts the volume at 25.362 Å³ per atom.

Run B
LiErSnPb: optimized geometry, PBE-GGA.

The space group is Pmmm (No. 47) and the conventional cell measures 4.3907, 4.6493 and 4.7734 Å, with angles of 90.00, 90.00 and 90.00 degrees. The distinct sites, in fractional coordinates, are Li at (0.0000, 0.0000, 0.0000), Er at (0.0000, 0.5000, 0.5000), Sn at (0.5000, 0.0000, 0.5000) and Pb at (0.5000, 0.5000, 0.0000).

Its density of states at the Fermi level is 1.10 states/eV per cell. The calculation puts the volume at 24.361 Å³ per atom.

Ordering by calculated energy gives the sequence run B, run A, with the first entry being the most stable.

Run A
LiErTlPb: optimized geometry, PBE-GGA.

The space group is Pmmm (No. 47) and the conventional cell measures 4.1999, 4.7942 and 4.9766 Å, with angles of 90.00, 90.00 and 90.00 degrees. The distinct sites, in fractional coordinates, are Li at (0.0000, 0.0000, 0.0000), Er at (0.0000, 0.5000, 0.5000), Tl at (0.5000, 0.5000, 0.0000) and Pb at (0.5000, 0.0000, 0.5000).

Its density of states at the Fermi level is 2.21 states/eV per cell. The calculation puts the volume at 25.051 Å³ per atom.

Run B
LiErTlPb: optimized geometry, PBE-GGA.

The space group is F-43m (No. 216) and the conventional cell measures 7.4007, 7.4007 and 7.4007 Å, with angles of 90.00, 90.00 and 90.00 degrees. The distinct sites, in fractional coordinates, are Li at (0.0000, 0.0000, 0.0000), Er at (0.0000, 0.0000, 0.5000), Tl at (0.2500, 0.2500, 0.2500) and Pb at (0.2500, 0.2500, 0.7500).

Its density of states at the Fermi level is 5.64 states/eV per cell. The calculation puts the volume at 25.334 Å³ per atom.

Ordering by calculated energy gives the sequence run A, run B, with the first entry being the most stable.